Density functional theory data (GGA-PBE) for CuAu2Cl after structural relaxation.

As for the density of states at the Fermi level: 0.171 states/eV per atom. The size of the total moment comes out at 0.000 μB/cell. For the electronic total energy, the calculation gives -12.6 eV/cell. The offset from the most stable computed form comes out at 0.000 eV per atom. The value obtained for the energy relative to the elements, uncorrected is -0.14 eV/f.u.

The space group is Pm (No. 6) and the conventional cell measures 3.767, 3.184 and 6.692 Å, with angles of 90.00, 90.25 and 90.00 degrees. Symmetry generates all atoms from Cu at (0.000, 0.000, 0.000), Au at (0.003, 0.000, 0.390), Au at (0.502, 0.500, 0.180) and Cl at (0.002, 0.500, 0.739).